Entry 1:
The following is a DFT calculation (GGA-PBE) of an optimized crystal structure of TeRu2Pb.

Cell and atoms, written as CIF:
```
data_TeRu2Pb
_cell_length_a 6.672
_cell_length_b 6.672
_cell_length_c 6.672
_cell_angle_alpha 90.00
_cell_angle_beta 90.00
_cell_angle_gamma 90.00
_symmetry_space_group_name_H-M 'F m -3 m'
_symmetry_Int_Tables_number 225
_symmetry_space_group_name_Hall '-F 4 2 3'
loop_
_atom_site_label
_atom_site_type_symbol
_atom_site_fract_x
_atom_site_fract_y
_atom_site_fract_z
Te1 Te 0.000 0.000 0.000
Ru1 Ru 0.250 0.250 0.250
Pb1 Pb 0.000 0.000 0.500
```

Results
Raw total energy ... -5.88 eV/atom
Magnetization ... 4.6 μB per cell


Entry 2:
The following is a DFT calculation (GGA-PBE) of an optimized crystal structure of PuBRh4.

Cell and atoms, written as CIF:
```
data_PuBRh4
_cell_length_a 4.332
_cell_length_b 14.362
_cell_length_c 5.885
_cell_angle_alpha 90.00
_cell_angle_beta 90.00
_cell_angle_gamma 90.00
_symmetry_space_group_name_H-M 'C m c m'
_symmetry_Int_Tables_number 63
_symmetry_space_group_name_Hall '-C 2c 2'
loop_
_atom_site_label
_atom_site_type_symbol
_atom_site_fract_x
_atom_site_fract_y
_atom_site_fract_z
Pu1 Pu 0.000 0.108 0.250
B1 B 0.000 0.395 0.250
Rh1 Rh 0.000 0.104 0.750
Rh2 Rh 0.000 0.301 0.502
Rh3 Rh 0.000 0.500 0.000
```

Results
Magnetization ... 14.1 μB per cell
Formation energy from the elements ... -2.1 eV/f.u.


Entry 3:
The following is a DFT calculation (GGA-PBE) of an optimized crystal structure of Ac2TbPb2O2.

Cell and atoms, written as CIF:
```
data_Ac2TbPb2O2
_cell_length_a 4.545
_cell_length_b 4.545
_cell_length_c 17.303
_cell_angle_alpha 90.00
_cell_angle_beta 90.00
_cell_angle_gamma 90.00
_symmetry_space_group_name_H-M 'I 4/m m m'
_symmetry_Int_Tables_number 139
_symmetry_space_group_name_Hall '-I 4 2'
loop_
_atom_site_label
_atom_site_type_symbol
_atom_site_fract_x
_atom_site_fract_y
_atom_site_fract_z
Ac1 Ac 0.000 0.000 0.109
Tb1 Tb 0.000 0.000 0.500
Pb1 Pb 0.000 0.000 0.301
O1 O 0.000 0.500 0.000
```

Results
Raw total energy ... -5.98 eV/atom
Magnetization ... 0.0 μB per cell


Entry 4:
The following is a DFT calculation (GGA-PBE) of an optimized crystal structure of MoH3Rh2.

Cell and atoms, written as CIF:
```
data_MoH3Rh2
_cell_length_a 5.786
_cell_length_b 4.035
_cell_length_c 8.666
_cell_angle_alpha 90.00
_cell_angle_beta 90.00
_cell_angle_gamma 90.00
_symmetry_space_group_name_H-M 'P n m a'
_symmetry_Int_Tables_number 62
loop_
_symmetry_equiv_pos_as_xyz
'x,y,z'
'-x,-y,-z'
'-x+1/2,-y,z+1/2'
'x+1/2,y,-z+1/2'
'x+1/2,-y+1/2,-z+1/2'
'-x+1/2,y+1/2,z+1/2'
'-x,y+1/2,-z'
'x,-y+1/2,z'
loop_
_atom_site_label
_atom_site_type_symbol
_atom_site_fract_x
_atom_site_fract_y
_atom_site_fract_z
Mo1 Mo 0.110 0.250 0.071
H1 H 0.096 0.750 0.419
H2 H 0.120 0.750 0.741
H3 H 0.141 0.750 0.090
Rh1 Rh 0.127 0.250 0.753
Rh2 Rh 0.129 0.250 0.410
```

Results
Raw total energy ... -5.98 eV/atom
Magnetization ... 0.0 μB per cell


Entry 5:
The following is a DFT calculation (GGA-PBE) of an optimized crystal structure of SiH4Se.

Cell and atoms, written as CIF:
```
data_SiH4Se
_cell_length_a 17.100
_cell_length_b 5.070
_cell_length_c 3.857
_cell_angle_alpha 90.00
_cell_angle_beta 98.10
_cell_angle_gamma 90.00
_symmetry_space_group_name_H-M 'C 1 2/m 1'
_symmetry_Int_Tables_number 12
loop_
_symmetry_equiv_pos_as_xyz
'x,y,z'
'-x,-y,-z'
'-x,y,-z'
'x,-y,z'
'x+1/2,y+1/2,z'
'-x+1/2,-y+1/2,-z'
'-x+1/2,y+1/2,-z'
'x+1/2,-y+1/2,z'
loop_
_atom_site_label
_atom_site_type_symbol
_atom_site_fract_x
_atom_site_fract_y
_atom_site_fract_z
Si1 Si 0.047 0.000 0.301
H1 H 0.000 0.210 0.000
H2 H 0.103 0.231 0.379
H3 H 0.226 0.000 0.350
Se1 Se 0.229 0.500 0.955
```

Results
Raw total energy ... -3.51 eV/atom
Magnetization ... 0.0 μB per cell


Entry 6:
The following is a DFT calculation (GGA-PBE) of an optimized crystal structure of Ac4PrNd3.

Cell and atoms, written as CIF:
```
data_Ac4PrNd3
_cell_length_a 10.980
_cell_length_b 7.635
_cell_length_c 7.636
_cell_angle_alpha 90.00
_cell_angle_beta 90.00
_cell_angle_gamma 90.00
_symmetry_space_group_name_H-M 'P m n 21'
_symmetry_Int_Tables_number 31
loop_
_symmetry_equiv_pos_as_xyz
'x,y,z'
'-x+1/2,-y,z+1/2'
'-x,y,z'
'x+1/2,-y,z+1/2'
loop_
_atom_site_label
_atom_site_type_symbol
_atom_site_fract_x
_atom_site_fract_y
_atom_site_fract_z
Ac1 Ac 0.000 0.001 0.000
Ac2 Ac 0.000 0.499 0.498
Ac3 Ac 0.249 0.750 0.749
Pr1 Pr 0.000 0.499 0.000
Nd1 Nd 0.000 0.000 0.499
Nd2 Nd 0.250 0.249 0.749
```

Results
Magnetization ... 0.0 μB per cell
Formation energy from the elements ... 0.2 eV/f.u.


Question: What is the formula in the sixth record?
Answer: Ac4PrNd3